[1]
Entry from Alexandria: a PBEsol-optimized structure of Ca2SnSbF (SCAN).

## Properties
Uncorrected formation energy = -447.6 meV per atom
Density of states at the Fermi level = 2.1 states/eV/f.u.
SG = P4/mmm (123)

Unit cell a=5.3436 b=5.9622 c=5.9622 alpha=90.00 beta=90.00 gamma=90.00
Element x y z (fractional)
Sb (0.5000, 0.0000, 0.0000)
Ca (0.0000, 0.0000, 0.5000)
Ca (0.0000, 0.5000, 0.0000)
Sn (0.0000, 0.0000, 0.0000)
F (0.5000, 0.5000, 0.5000)

---

[2]
Entry from Alexandria: a PBEsol-optimized structure of MgSbMo (SCAN).

## Properties
Uncorrected formation energy = 475.2 meV per atom
Density of states at the Fermi level = 2.7 states/eV/f.u.
SG = F-43m (216)
Polymorph energy (0 for the lowest one) = 0.43 eV/f.u.

Unit cell a=4.5042 b=4.5042 c=4.5042 alpha=60.00 beta=60.00 gamma=60.00
Site moments in Bohr magnetons follow the coordinates.
Element x y z (fractional)
Mg (0.5000, 0.5000, 0.5000)  0.00
Mo (0.2500, 0.2500, 0.2500)  1.87
Sb (0.0000, 0.0000, 0.0000)  -0.05

---

[3]
Entry from Alexandria: a PBEsol-optimized structure of KAl3Au (SCAN).

## Properties
Density of states at the Fermi level = 2.7 states/eV/f.u.
SG = Pm-3m (221)

Unit cell a=5.0044 b=5.0044 c=5.0044 alpha=90.00 beta=90.00 gamma=90.00
Element x y z (fractional)
K (0.5000, 0.5000, 0.5000)
Au (0.0000, 0.0000, 0.0000)
Al (0.0000, 0.5000, 0.0000)
Al (0.0000, 0.0000, 0.5000)
Al (0.5000, 0.0000, 0.0000)

---

[4]
Entry from Alexandria: a PBEsol-optimized structure of IrRh3 (SCAN).

## Properties
Density of states at the Fermi level = 4.0 states/eV/f.u.
SG = R-3m (166)

Unit cell a=2.6786 b=2.6786 c=8.8942 alpha=81.34 beta=81.34 gamma=60.00
Element x y z (fractional)
Ir (0.0000, 0.0000, 0.0000)
Rh (0.2499, 0.2499, 0.2502)
Rh (0.5000, 0.5000, 0.5000)
Rh (0.7501, 0.7501, 0.7498)

---

[5]
Entry from Alexandria: a PBEsol-optimized structure of TaRu2Rh (SCAN).

## Properties
Density of states at the Fermi level = 3.3 states/eV/f.u.
SG = C2/m (12)
Polymorph energy (0 for the lowest one) = 0.77 eV/f.u.

Unit cell a=2.7619 b=4.6834 c=4.7369 alpha=99.97 beta=90.00 gamma=107.15
Element x y z (fractional)
Rh (0.5000, 0.0000, 0.0000)
Ru (0.7525, 0.5049, 0.7665)
Ru (0.2475, 0.4951, 0.2335)
Ta (0.0000, 0.0000, 0.5000)

---

[6]
Entry from Alexandria: a PBEsol-optimized structure of YSnP2O (SCAN).

## Properties
Uncorrected formation energy = -447.9 meV per atom
Density of states at the Fermi level = 3.4 states/eV/f.u.
SG = P4/mmm (123)

Unit cell a=3.9832 b=5.0002 c=5.0002 alpha=90.00 beta=90.00 gamma=90.00
Element x y z (fractional)
Y (0.5000, 0.5000, 0.5000)
P (0.0000, 0.0000, 0.5000)
P (0.0000, 0.5000, 0.0000)
Sn (0.0000, 0.0000, 0.0000)
O (0.5000, 0.0000, 0.0000)

---

[7]
Entry from Alexandria: a PBEsol-optimized structure of SrCo2As (SCAN).

## Properties
Density of states at the Fermi level = 2.9 states/eV/f.u.
SG = Immm (71)

Unit cell a=3.7941 b=4.7931 c=4.7931 alpha=66.18 beta=66.69 gamma=66.69
Site moments in Bohr magnetons follow the coordinates.
Element x y z (fractional)
Sr (0.5000, 0.0000, 0.0000)  -0.10
As (0.0000, 0.5000, 0.5000)  0.03
Co (0.3216, 0.6784, 0.6784)  1.36
Co (0.6784, 0.3216, 0.3216)  1.36

---

[8]
Entry from Alexandria: a PBEsol-optimized structure of MnIr4Se (SCAN).

## Properties
Uncorrected formation energy = 537.7 meV per atom
Density of states at the Fermi level = 5.7 states/eV/f.u.
SG = F-43m (216)

Unit cell a=5.1480 b=5.1480 c=5.1480 alpha=60.00 beta=60.00 gamma=60.00
Site moments in Bohr magnetons follow the coordinates.
Element x y z (fractional)
Ir (0.3753, 0.3753, 0.3753)  -0.04
Ir (0.3753, 0.3753, 0.8741)  -0.04
Ir (0.8741, 0.3753, 0.3753)  -0.04
Ir (0.3753, 0.8741, 0.3753)  -0.04
Mn (0.7500, 0.7500, 0.7500)  4.27
Se (0.0000, 0.0000, 0.0000)  -0.15

---

Table of V (Å³/atom), in record order: 37.99; 21.54; 25.07; 13.61; 14.39; 19.92; 17.57; 16.08
Table of total energy (hartree per atom), in record order: -0.7224; -0.9272; -0.7368; -1.5846; -1.5687; -0.6838; -0.6954; -1.9569
Table of magnetization (Bohr magnetons per cell), in record order: 0.0; 2.0; 0.0; 0.0; 0.0; 0.0; 2.4; 4.1